1.
# BPIrAu

A relaxed BPIrAu crystal (PBE-GGA, Alexandria via LeMat-Bulk).

Results
Total moment, μB/atom: 0.0000
Symmetry: Cm
Formation energy, eV per atom: 0.147
Raw total energy, Ry/atom: -0.43431

Cell and atoms, written as POSCAR:
```
BPIrAu
1.0
4.631 0.000 -0.013
0.000 2.953 0.000
-2.561 0.000 8.028
P B Ir Au
2 2 2 2
Cartesian
1.011 0.000 7.287
2.291 1.476 3.273
-1.803 0.000 7.960
-0.523 1.476 3.946
0.894 0.000 4.664
2.175 1.476 0.650
-0.140 0.000 2.005
-1.420 1.476 6.019
```

---

2.
# TcAsCl2

A relaxed TcAsCl2 crystal (PBE-GGA, Alexandria via LeMat-Bulk).

Results
Total moment, μB/atom: 0.8812
Symmetry: Cmmm
Raw total energy, Ry/atom: -0.28488

Cell and atoms, written as POSCAR:
```
TcAsCl2
1.0
5.174 0.004 0.000
-1.617 4.915 0.000
0.000 0.000 3.071
As Tc Cl
1 1 2
Cartesian
-0.809 2.458 1.535
2.587 0.002 1.535
0.000 0.000 0.000
1.778 2.460 0.000
```

---

3.
# NpAsI

A relaxed NpAsI crystal (PBE-GGA, Alexandria via LeMat-Bulk).

Results
Total moment, μB/atom: 0.4104
Symmetry: Cmce
Raw total energy, Ry/atom: -0.49172

Cell and atoms, written as POSCAR:
```
NpAsI
1.0
-1.215 5.058 -1.473
-2.600 -0.061 4.740
9.970 4.002 5.520
Np As I
4 4 4
Cartesian
-2.928 4.288 2.880
2.719 5.422 5.073
9.083 4.712 5.907
3.436 3.578 3.714
-1.645 3.469 0.456
-2.170 1.528 2.811
2.648 2.911 6.322
3.507 6.089 2.465
0.334 4.274 3.596
1.721 1.566 1.674
4.434 7.434 7.113
5.821 4.726 5.191
```

---

4.
# Y4Ru5

A relaxed Y4Ru5 crystal (PBE-GGA, Alexandria via LeMat-Bulk).

Results
Total moment, μB/atom: 0.0016
Symmetry: P6_3/mcm
Formation energy, eV per atom: 0.078
Raw total energy, Ry/atom: -0.58421

Cell and atoms, written as POSCAR:
```
Y4Ru5
1.0
-6.946 -4.626 0.226
-0.240 -6.949 4.622
-1.906 3.083 4.537
Y Ru
8 10
Cartesian
0.000 0.000 0.000
-0.953 1.542 2.268
-4.873 -4.738 3.031
-0.625 -3.536 3.999
-3.118 -0.988 1.220
-4.219 -3.753 6.353
-1.521 -0.329 5.160
-5.735 -0.554 3.542
-2.745 -5.475 4.426
-0.549 -1.331 2.532
-5.322 -2.456 1.292
-6.347 -3.016 4.958
-1.597 -2.534 6.627
-3.530 0.913 3.471
-2.395 -3.858 1.616
-5.744 -6.175 5.500
-4.791 -7.716 3.232
-3.348 -2.316 3.884
```

---

- Which value of raw total energy does entry 3 give?
  -0.49172 Ry/atom

---

- Which of these has the highest raw total energy?
  TcAsCl2